(1)
The following is a PBE calculation of a relaxed structure of LaTbNdLu, from Alexandria via LeMat-Bulk.

Crystal system: cubic
Energy of formation (meV/atom): 92
DOS(E_F) (states/eV/f.u.): 6.963
Calculated density (g/cm³): 7.596

Unit cell a=5.756 b=5.756 c=5.756 alpha=60.00 beta=60.00 gamma=60.00
Sites, in units of the cell vectors:
Tb: 0.000 0.000 0.000
Lu: 0.500 0.500 0.500
Nd: 0.750 0.750 0.750
La: 0.250 0.250 0.250

***

(2)
The following is a PBE calculation of a relaxed structure of LaNdLuZn, from Alexandria via LeMat-Bulk.

Crystal system: cubic
Energy of formation (meV/atom): -8
DOS(E_F) (states/eV/f.u.): 4.220
Calculated density (g/cm³): 7.569

Unit cell a=5.456 b=5.456 c=5.456 alpha=60.00 beta=60.00 gamma=60.00
Sites, in units of the cell vectors:
Zn: 0.000 0.000 0.000
Lu: 0.500 0.500 0.500
Nd: 0.750 0.750 0.750
La: 0.250 0.250 0.250